Record 1
Crystalline BaAgIO at its relaxed geometry, computed with PBE-GGA.

Lattice parameters (Å, degrees): 4.3665 4.3665 43.0309 90.00 90.00 120.00
With the nearest neighbours (Å) after each atom.
Space group R-3m (No. 166, hexagonal axes)
Asymmetric unit:
Ba  0.0000  0.0000  0.1044 x6  3 O 2.61
Ag  0.0000  0.0000  0.2944 x6  1 O 2.13
I  0.0000  0.0000  0.0000 x3  6 Ag 3.03
I  0.0000  0.0000  0.5000 x3  6 Ba 3.68
O  0.0000  0.0000  0.2448 x6  1 Ag 2.13

Raw formation energy   -1.37 eV per atom
Uncorrected energy   -100.7 eV per cell

Record 2
Crystalline HoTm2In at its relaxed geometry, computed with PBE-GGA.

Lattice parameters (Å, degrees): 7.6246 7.6246 7.6246 90.00 90.00 90.00
With the nearest neighbours (Å) after each atom.
Space group Fm-3m (No. 225)
Asymmetric unit:
Ho  0.0000  0.0000  0.0000 x4  8 Tm 3.30
Tm  0.2500  0.2500  0.2500 x8  4 In 3.30, 4 Ho 3.30
In  0.0000  0.0000  0.5000 x4  8 Tm 3.30

Energy of formation from the pure elements   -39 kJ/mol of formula units
Uncorrected energy   -66.7 eV per cell

Record 3
Crystalline YNb2F at its relaxed geometry, computed with PBE-GGA.

Lattice parameters (Å, degrees): 6.7031 6.7031 6.7031 90.00 90.00 90.00
With the nearest neighbours (Å) after each atom.
Space group Fm-3m (No. 225)
Asymmetric unit:
Y  0.0000  0.0000  0.0000 x4  8 Nb 2.90
Nb  0.2500  0.2500  0.2500 x8  4 Y 2.90, 4 F 2.90
F  0.0000  0.0000  0.5000 x4  8 Nb 2.90

Raw formation energy   0.67 eV per atom
Uncorrected energy   -103.1 eV per cell